w.
# CaTbRh

An optimized crystal structure of CaTbRh (GGA-PBE, Alexandria via LeMat-Bulk).

```
data_CaTbRh
_space_group_name_H-M_alt 'F -4 3 m'
_space_group_IT_number 216
_space_group_name_Hall 'F -4 2 3'
_cell_length_a 6.841
_cell_length_b 6.841
_cell_length_c 6.841
_cell_angle_alpha 90.00
_cell_angle_beta 90.00
_cell_angle_gamma 90.00
loop_
_atom_site_label
_atom_site_type_symbol
_atom_site_fract_x
_atom_site_fract_y
_atom_site_fract_z
_atom_site_occupancy
Ca1 Ca 0.000 0.000 0.000 1
Tb1 Tb 0.000 0.000 0.500 1
Rh1 Rh 0.250 0.250 0.750 1
```

Computed properties:
total magnetic moment = 0.000 μB per atom
calculated volume = 320.2 Å³ per cell


x.
# CaTbRh

An optimized crystal structure of CaTbRh (GGA-PBE, Alexandria via LeMat-Bulk).

```
data_CaTbRh
_space_group_name_H-M_alt 'I m a 2'
_space_group_IT_number 46
_space_group_name_Hall 'I 2 -2a'
_cell_length_a 8.955
_cell_length_b 13.187
_cell_length_c 7.610
_cell_angle_alpha 90.00
_cell_angle_beta 90.00
_cell_angle_gamma 90.00
loop_
_atom_site_label
_atom_site_type_symbol
_atom_site_fract_x
_atom_site_fract_y
_atom_site_fract_z
_atom_site_occupancy
Ca1 Ca 0.250 0.000 0.000 1
Ca2 Ca 0.250 0.206 0.618 1
Ca3 Ca 0.250 0.706 0.118 1
Tb1 Tb 0.000 0.000 0.673 1
Tb2 Tb 0.000 0.130 0.281 1
Rh1 Rh 0.001 0.167 0.912 1
Rh2 Rh 0.250 0.000 0.412 1
```

Computed properties:
total magnetic moment = 0.000 μB per atom
calculated volume = 898.7 Å³ per cell


y.
# CaTbRh

An optimized crystal structure of CaTbRh (GGA-PBE, Alexandria via LeMat-Bulk).

```
data_CaTbRh
_space_group_name_H-M_alt 'C m c m'
_space_group_IT_number 63
_space_group_name_Hall '-C 2c 2'
_cell_length_a 4.121
_cell_length_b 13.452
_cell_length_c 5.446
_cell_angle_alpha 90.00
_cell_angle_beta 90.00
_cell_angle_gamma 90.00
loop_
_atom_site_label
_atom_site_type_symbol
_atom_site_fract_x
_atom_site_fract_y
_atom_site_fract_z
_atom_site_occupancy
Ca1 Ca 0.000 0.052 0.250 1
Tb1 Tb 0.000 0.246 0.750 1
Rh1 Rh 0.000 0.380 0.250 1
```

Computed properties:
total magnetic moment = 0.000 μB per atom
calculated volume = 301.9 Å³ per cell


z.
# CaTbRh

An optimized crystal structure of CaTbRh (GGA-PBE, Alexandria via LeMat-Bulk).

```
data_CaTbRh
_space_group_name_H-M_alt 'P 3 m 1'
_space_group_IT_number 156
_space_group_name_Hall 'P 3 -2"'
_cell_length_a 3.9730
_cell_length_b 3.9730
_cell_length_c 6.5369
_cell_angle_alpha 90.00
_cell_angle_beta 90.00
_cell_angle_gamma 120.00
loop_
_atom_site_label
_atom_site_type_symbol
_atom_site_fract_x
_atom_site_fract_y
_atom_site_fract_z
_atom_site_occupancy
Ca1 Ca 0.0000 0.0000 0.0000 1
Tb1 Tb 0.6667 0.3333 0.4833 1
Rh1 Rh 0.3333 0.6667 0.2644 1
```

Computed properties:
total magnetic moment = 0.000 μB per atom
calculated volume = 89.4 Å³ per cell


Computed energies relative to the best structure, in kJ/mol of atoms: w 5.6; x 0.0; y 11.1; z 10.2


w.
# CaTeRh2

An optimized crystal structure of CaTeRh2 (GGA-PBE, Alexandria via LeMat-Bulk).

```
data_CaTeRh2
_space_group_name_H-M_alt 'P m m m'
_space_group_IT_number 47
_space_group_name_Hall '-P 2 2'
_cell_length_a 3.324
_cell_length_b 4.313
_cell_length_c 5.754
_cell_angle_alpha 90.00
_cell_angle_beta 90.00
_cell_angle_gamma 90.00
loop_
_atom_site_label
_atom_site_type_symbol
_atom_site_fract_x
_atom_site_fract_y
_atom_site_fract_z
_atom_site_occupancy
Ca1 Ca 0.000 0.000 0.000 1
Te1 Te 0.500 0.000 0.500 1
Rh1 Rh 0.500 0.500 0.240 1
```

Computed properties:
total magnetic moment = 0.000 μB per atom
calculated volume = 82.5 Å³ per cell


x.
# CaTeRh2

An optimized crystal structure of CaTeRh2 (GGA-PBE, Alexandria via LeMat-Bulk).

```
data_CaTeRh2
_space_group_name_H-M_alt 'R 3 m'
_space_group_IT_number 160
_space_group_name_Hall 'R 3 -2"'
_cell_length_a 4.4201
_cell_length_b 4.4201
_cell_length_c 15.7508
_cell_angle_alpha 90.00
_cell_angle_beta 90.00
_cell_angle_gamma 120.00
loop_
_atom_site_label
_atom_site_type_symbol
_atom_site_fract_x
_atom_site_fract_y
_atom_site_fract_z
_atom_site_occupancy
Ca1 Ca 0.0000 0.0000 0.0000 1
Te1 Te 0.0000 0.0000 0.2020 1
Rh1 Rh 0.0000 0.0000 0.4605 1
Rh2 Rh 0.0000 0.0000 0.7930 1
```

Computed properties:
total magnetic moment = 0.000 μB per atom
calculated volume = 266.5 Å³ per cell


y.
# CaTeRh2

An optimized crystal structure of CaTeRh2 (GGA-PBE, Alexandria via LeMat-Bulk).

```
data_CaTeRh2
_space_group_name_H-M_alt 'C 1 2/m 1'
_space_group_IT_number 12
_space_group_name_Hall '-C 2y'
_cell_length_a 6.132
_cell_length_b 9.068
_cell_length_c 3.178
_cell_angle_alpha 90.00
_cell_angle_beta 119.59
_cell_angle_gamma 90.00
loop_
_atom_site_label
_atom_site_type_symbol
_atom_site_fract_x
_atom_site_fract_y
_atom_site_fract_z
_atom_site_occupancy
Ca1 Ca 0.000 0.000 0.000 1
Te1 Te 0.000 0.500 0.000 1
Rh1 Rh 0.250 0.250 0.500 1
```

Computed properties:
total magnetic moment = 0.000 μB per atom
calculated volume = 153.7 Å³ per cell


Computed energies relative to the best structure, in kJ/mol of atoms: w 20.0; x 0.0; y 28.6


w.
# Ca2TeRh2

An optimized crystal structure of Ca2TeRh2 (GGA-PBE, Alexandria via LeMat-Bulk).

```
data_Ca2TeRh2
_space_group_name_H-M_alt 'I 4/m m m'
_space_group_IT_number 139
_space_group_name_Hall '-I 4 2'
_cell_length_a 3.752
_cell_length_b 3.752
_cell_length_c 16.931
_cell_angle_alpha 90.00
_cell_angle_beta 90.00
_cell_angle_gamma 90.00
loop_
_atom_site_label
_atom_site_type_symbol
_atom_site_fract_x
_atom_site_fract_y
_atom_site_fract_z
_atom_site_occupancy
Ca1 Ca 0.000 0.000 0.110 1
Te1 Te 0.000 0.000 0.500 1
Rh1 Rh 0.000 0.500 0.250 1
```

Computed properties:
total magnetic moment = 0.186 μB per atom
calculated volume = 238.3 Å³ per cell


x.
# Ca2TeRh2

An optimized crystal structure of Ca2TeRh2 (GGA-PBE, Alexandria via LeMat-Bulk).

```
data_Ca2TeRh2
_space_group_name_H-M_alt 'P 4/m b m'
_space_group_IT_number 127
_space_group_name_Hall '-P 4 2ab'
_cell_length_a 8.182
_cell_length_b 8.182
_cell_length_c 3.290
_cell_angle_alpha 90.00
_cell_angle_beta 90.00
_cell_angle_gamma 90.00
loop_
_atom_site_label
_atom_site_type_symbol
_atom_site_fract_x
_atom_site_fract_y
_atom_site_fract_z
_atom_site_occupancy
Ca1 Ca 0.140 0.360 0.000 1
Te1 Te 0.000 0.000 0.000 1
Rh1 Rh 0.161 0.661 0.500 1
```

Computed properties:
total magnetic moment = 0.000 μB per atom
calculated volume = 220.2 Å³ per cell


Computed energies relative to the best structure, in kJ/mol of atoms: w 0.0; x 42.7


w.
# CaTe3Rh

An optimized crystal structure of CaTe3Rh (GGA-PBE, Alexandria via LeMat-Bulk).

```
data_CaTe3Rh
_space_group_name_H-M_alt 'P m -3 m'
_space_group_IT_number 221
_space_group_name_Hall '-P 4 2 3'
_cell_length_a 5.710
_cell_length_b 5.710
_cell_length_c 5.710
_cell_angle_alpha 90.00
_cell_angle_beta 90.00
_cell_angle_gamma 90.00
loop_
_atom_site_label
_atom_site_type_symbol
_atom_site_fract_x
_atom_site_fract_y
_atom_site_fract_z
_atom_site_occupancy
Ca1 Ca 0.000 0.000 0.000 1
Te1 Te 0.000 0.000 0.500 1
Rh1 Rh 0.500 0.500 0.500 1
```

Computed properties:
total magnetic moment = 0.324 μB per atom
calculated volume = 186.2 Å³ per cell


x.
# CaTe3Rh

An optimized crystal structure of CaTe3Rh (GGA-PBE, Alexandria via LeMat-Bulk).

```
data_CaTe3Rh
_space_group_name_H-M_alt 'P m -3 m'
_space_group_IT_number 221
_space_group_name_Hall '-P 4 2 3'
_cell_length_a 5.294
_cell_length_b 5.294
_cell_length_c 5.294
_cell_angle_alpha 90.00
_cell_angle_beta 90.00
_cell_angle_gamma 90.00
loop_
_atom_site_label
_atom_site_type_symbol
_atom_site_fract_x
_atom_site_fract_y
_atom_site_fract_z
_atom_site_occupancy
Ca1 Ca 0.000 0.000 0.000 1
Te1 Te 0.000 0.500 0.500 1
Rh1 Rh 0.500 0.500 0.500 1
```

Computed properties:
total magnetic moment = 0.000 μB per atom
calculated volume = 148.3 Å³ per cell


Computed energies relative to the best structure, in kJ/mol of atoms: w 105.4; x 0.0


w.
# CaThRh2

An optimized crystal structure of CaThRh2 (GGA-PBE, Alexandria via LeMat-Bulk).

```
data_CaThRh2
_space_group_name_H-M_alt 'P 4/m m m'
_space_group_IT_number 123
_space_group_name_Hall '-P 4 2'
_cell_length_a 3.589
_cell_length_b 3.589
_cell_length_c 6.878
_cell_angle_alpha 90.00
_cell_angle_beta 90.00
_cell_angle_gamma 90.00
loop_
_atom_site_label
_atom_site_type_symbol
_atom_site_fract_x
_atom_site_fract_y
_atom_site_fract_z
_atom_site_occupancy
Ca1 Ca 0.000 0.000 0.000 1
Th1 Th 0.000 0.000 0.500 1
Rh1 Rh 0.500 0.500 0.281 1
```

Computed properties:
total magnetic moment = 0.000 μB per atom
calculated volume = 88.6 Å³ per cell


x.
# CaThRh2

An optimized crystal structure of CaThRh2 (GGA-PBE, Alexandria via LeMat-Bulk).

```
data_CaThRh2
_space_group_name_H-M_alt 'F m -3 m'
_space_group_IT_number 225
_space_group_name_Hall '-F 4 2 3'
_cell_length_a 6.989
_cell_length_b 6.989
_cell_length_c 6.989
_cell_angle_alpha 90.00
_cell_angle_beta 90.00
_cell_angle_gamma 90.00
loop_
_atom_site_label
_atom_site_type_symbol
_atom_site_fract_x
_atom_site_fract_y
_atom_site_fract_z
_atom_site_occupancy
Ca1 Ca 0.000 0.000 0.000 1
Th1 Th 0.000 0.000 0.500 1
Rh1 Rh 0.250 0.250 0.250 1
```

Computed properties:
total magnetic moment = 0.000 μB per atom
calculated volume = 341.4 Å³ per cell


Computed energies relative to the best structure, in kJ/mol of atoms: w 0.0; x 4.7


w.
# Ca2TiRh

An optimized crystal structure of Ca2TiRh (GGA-PBE, Alexandria via LeMat-Bulk).

```
data_Ca2TiRh
_space_group_name_H-M_alt 'I -4 2 d'
_space_group_IT_number 122
_space_group_name_Hall 'I -4 2bw'
_cell_length_a 10.558
_cell_length_b 10.558
_cell_length_c 4.667
_cell_angle_alpha 90.00
_cell_angle_beta 90.00
_cell_angle_gamma 90.00
loop_
_atom_site_label
_atom_site_type_symbol
_atom_site_fract_x
_atom_site_fract_y
_atom_site_fract_z
_atom_site_occupancy
Ca1 Ca 0.097 0.250 0.125 1
Ti1 Ti 0.000 0.000 0.500 1
Rh1 Rh 0.000 0.000 0.000 1
```

Computed properties:
total magnetic moment = 0.335 μB per atom
calculated volume = 520.2 Å³ per cell


x.
# Ca2TiRh

An optimized crystal structure of Ca2TiRh (GGA-PBE, Alexandria via LeMat-Bulk).

```
data_Ca2TiRh
_space_group_name_H-M_alt 'F m -3 m'
_space_group_IT_number 225
_space_group_name_Hall '-F 4 2 3'
_cell_length_a 7.132
_cell_length_b 7.132
_cell_length_c 7.132
_cell_angle_alpha 90.00
_cell_angle_beta 90.00
_cell_angle_gamma 90.00
loop_
_atom_site_label
_atom_site_type_symbol
_atom_site_fract_x
_atom_site_fract_y
_atom_site_fract_z
_atom_site_occupancy
Ca1 Ca 0.250 0.250 0.250 1
Ti1 Ti 0.000 0.000 0.000 1
Rh1 Rh 0.000 0.000 0.500 1
```

Computed properties:
total magnetic moment = 0.000 μB per atom
calculated volume = 362.8 Å³ per cell


Computed energies relative to the best structure, in kJ/mol of atoms: w 0.0; x 19.7